Computed, not measured: SiHg3 at its PBEsol-relaxed geometry at the meta-GGA SCAN level of DFT.

Calculated values
Raw formation energy: 429 meV per atom

Cell and atoms, written as CIF:
```
data_SiHg3
_chemical_formula_sum 'Si1 Hg3'
_space_group_name_H-M_alt 'P -6 m 2'
_space_group_IT_number 187
_space_group_name_Hall 'P -6 2'
_cell_length_a 3.0111
_cell_length_b 3.0111
_cell_length_c 10.7733
_cell_angle_alpha 90.00
_cell_angle_beta 90.00
_cell_angle_gamma 120.00
loop_
_atom_site_label
_atom_site_fract_x
_atom_site_fract_y
_atom_site_fract_z
_atom_site_occupancy
Si1 0.0000 0.0000 0.0000 1
Hg1 0.0000 0.0000 0.5000 1
Hg2 0.6667 0.3333 0.2339 1
```


Computed, not measured: SiHg2 at its PBEsol-relaxed geometry at the meta-GGA SCAN level of DFT.

Calculated values
Raw formation energy: 488 meV per atom

Cell and atoms, written as CIF:
```
data_SiHg2
_chemical_formula_sum 'Si1 Hg2'
_space_group_name_H-M_alt 'P -6 m 2'
_space_group_IT_number 187
_space_group_name_Hall 'P -6 2'
_cell_length_a 3.3426
_cell_length_b 3.3426
_cell_length_c 6.7296
_cell_angle_alpha 90.00
_cell_angle_beta 90.00
_cell_angle_gamma 120.00
loop_
_atom_site_label
_atom_site_fract_x
_atom_site_fract_y
_atom_site_fract_z
_atom_site_occupancy
Si1 0.0000 0.0000 0.0000 1
Hg1 0.3333 0.6667 0.2979 1
```


Computed, not measured: Si2Hg at its PBEsol-relaxed geometry at the meta-GGA SCAN level of DFT.

Calculated values
Raw formation energy: 872 meV per atom

Cell and atoms, written as CIF:
```
data_Si2Hg
_chemical_formula_sum 'Si4 Hg2'
_space_group_name_H-M_alt 'P 63/m m c'
_space_group_IT_number 194
_space_group_name_Hall '-P 6c 2c'
_cell_length_a 4.8627
_cell_length_b 4.8627
_cell_length_c 5.3494
_cell_angle_alpha 90.00
_cell_angle_beta 90.00
_cell_angle_gamma 120.00
loop_
_atom_site_label
_atom_site_fract_x
_atom_site_fract_y
_atom_site_fract_z
_atom_site_occupancy
Si1 0.0000 0.0000 0.0000 1
Si2 0.3333 0.6667 0.2500 1
Hg1 0.3333 0.6667 0.7500 1
```


Computed, not measured: Si2Hg at its PBEsol-relaxed geometry at the meta-GGA SCAN level of DFT.

Calculated values
Raw formation energy: 686 meV per atom

Cell and atoms, written as CIF:
```
data_Si2Hg
_chemical_formula_sum 'Si4 Hg2'
_space_group_name_H-M_alt 'P 63/m m c'
_space_group_IT_number 194
_space_group_name_Hall '-P 6c 2c'
_cell_length_a 4.0704
_cell_length_b 4.0704
_cell_length_c 9.4900
_cell_angle_alpha 90.00
_cell_angle_beta 90.00
_cell_angle_gamma 120.00
loop_
_atom_site_label
_atom_site_fract_x
_atom_site_fract_y
_atom_site_fract_z
_atom_site_occupancy
Si1 0.0000 0.0000 0.1233 1
Hg1 0.3333 0.6667 0.2500 1
```


Computed, not measured: Si5Hg at its PBEsol-relaxed geometry at the meta-GGA SCAN level of DFT.

Calculated values
Raw formation energy: 497 meV per atom

Cell and atoms, written as CIF:
```
data_Si5Hg
_chemical_formula_sum 'Si10 Hg2'
_space_group_name_H-M_alt 'A m m 2'
_space_group_IT_number 38
_cell_length_a 5.079
_cell_length_b 3.679
_cell_length_c 11.127
_cell_angle_alpha 90.00
_cell_angle_beta 90.00
_cell_angle_gamma 90.00
loop_
_space_group_symop_operation_xyz
'x,y,z'
'-x,-y,z'
'-x,y,z'
'x,-y,z'
'x,y+1/2,z+1/2'
'-x,-y+1/2,z+1/2'
'-x,y+1/2,z+1/2'
'x,-y+1/2,z+1/2'
loop_
_atom_site_label
_atom_site_fract_x
_atom_site_fract_y
_atom_site_fract_z
_atom_site_occupancy
Si1 0.000 0.000 0.000 1
Si2 0.000 0.000 0.317 1
Si3 0.000 0.000 0.658 1
Si4 0.500 0.000 0.341 1
Si5 0.500 0.000 0.974 1
Hg1 0.500 0.000 0.658 1
```


Computed, not measured: Si2Hg at its PBEsol-relaxed geometry at the meta-GGA SCAN level of DFT.

Calculated values
Raw formation energy: 586 meV per atom

Cell and atoms, written as CIF:
```
data_Si2Hg
_chemical_formula_sum 'Si6 Hg3'
_space_group_name_H-M_alt 'P -3 1 m'
_space_group_IT_number 162
_space_group_name_Hall '-P 3 2'
_cell_length_a 6.6991
_cell_length_b 6.6991
_cell_length_c 5.7957
_cell_angle_alpha 90.00
_cell_angle_beta 90.00
_cell_angle_gamma 120.00
loop_
_atom_site_label
_atom_site_fract_x
_atom_site_fract_y
_atom_site_fract_z
_atom_site_occupancy
Si1 0.0000 0.2513 0.1524 1
Hg1 0.0000 0.0000 0.5000 1
Hg2 0.3333 0.6667 0.0000 1
```


| no. | calculated volume (Å³/atom) |
| --- | --- |
| 1 | 21.15 |
| 2 | 21.70 |
| 3 | 18.26 |
| 4 | 22.69 |
| 5 | 17.33 |
| 6 | 25.03 |